Material: SrPrEuIn
Method: DFT, PBE-GGA
State: relaxed

Its crystal system is cubic. The calculation puts the density of states at the Fermi level at 37.64 states/eV/cell. For the uncorrected energy, the calculation gives -4.978 eV per atom. The value obtained for the energy of formation is -0.110 eV/atom.

The structure belongs to space group F-43m (No. 216); the cell edges are 8.216, 8.216 and 8.216 Å and the angles 90.00°, 90.00° and 90.00°. Symmetry generates all atoms from Sr at (0.000, 0.000, 0.000), Pr at (0.250, 0.250, 0.750), Eu at (0.250, 0.250, 0.250) and In at (0.000, 0.000, 0.500).

Material: LiBSe2
Method: DFT, PBE-GGA
State: relaxed

Its crystal system is triclinic. The calculation puts the density of states at the Fermi level at 0.00 states/eV/cell. For the uncorrected energy, the calculation gives -4.300 eV per atom. The value obtained for the uncorrected formation energy is -0.409 eV/atom.

The structure belongs to space group P1 (No. 1); the cell edges are 4.331, 6.271 and 6.292 Å and the angles 91.43°, 110.07° and 99.01°. Symmetry generates all atoms from Li at (0.000, 0.000, 0.000), Li at (0.159, 0.889, 0.539), B at (0.443, 0.376, 0.463), B at (0.762, 0.264, 0.429), Se at (0.217, 0.273, 0.702), Se at (0.600, 0.941, 0.273), Se at (0.632, 0.708, 0.599) and Se at (0.988, 0.380, 0.196).

Material: Sm4GePtSe2
Method: DFT, PBE-GGA
State: relaxed

Its crystal system is monoclinic. The calculation puts the density of states at the Fermi level at 6.23 states/eV/cell. For the uncorrected energy, the calculation gives -5.958 eV per atom. The value obtained for the uncorrected formation energy is -1.395 eV/atom.

The structure belongs to space group P2/m (No. 10); the cell edges are 7.216, 4.171 and 7.446 Å and the angles 90.00°, 109.06° and 90.00°. Symmetry generates all atoms from Sm at (0.243, 0.000, 0.237), Sm at (0.254, 0.500, 0.758), Ge at (0.500, 0.000, 0.000), Pt at (0.000, 0.500, 0.000), Se at (0.000, 0.000, 0.500) and Se at (0.500, 0.500, 0.500).

Material: Pm3YEr3
Method: DFT, PBE-GGA
State: relaxed

Its crystal system is hexagonal. The calculation puts the density of states at the Fermi level at 25.54 states/eV/cell. For the uncorrected energy, the calculation gives -4.898 eV per atom. The value obtained for the energy of formation is 0.016 eV/atom. For the energy above the lowest structure with this stoichiometry, the calculation gives 0 kJ/mol of formula units.

The structure belongs to space group P6_3/m (No. 176); the cell edges are 9.6092, 9.6092 and 5.7328 Å and the angles 90.00°, 90.00° and 120.00°. Symmetry generates all atoms from Pm at (0.0464, 0.2415, 0.2500), Y at (0.3333, 0.6667, 0.2500) and Er at (0.0942, 0.4773, 0.7500).

Material: RbTlInHg2
Method: DFT, PBE-GGA
State: relaxed

Its crystal system is tetragonal. The calculation puts the density of states at the Fermi level at 2.28 states/eV/cell. For the uncorrected energy, the calculation gives -1.342 eV per atom. The value obtained for the energy of formation is -0.007 eV/atom. For the energy above the lowest structure with this stoichiometry, the calculation gives 57 kJ/mol of formula units.

The structure belongs to space group P4/mmm (No. 123); the cell edges are 5.716, 5.716 and 6.056 Å and the angles 90.00°, 90.00° and 90.00°. Symmetry generates all atoms from Rb at (0.000, 0.000, 0.000), Tl at (0.500, 0.500, 0.000), In at (0.500, 0.500, 0.500) and Hg at (0.000, 0.500, 0.500).

Material: BeNiSe
Method: DFT, PBE-GGA
State: relaxed

Its crystal system is monoclinic. The calculation puts the density of states at the Fermi level at 5.60 states/eV/cell. For the uncorrected energy, the calculation gives -4.682 eV per atom. The value obtained for the uncorrected formation energy is -0.351 eV/atom.

The structure belongs to space group Cm (No. 8); the cell edges are 6.405, 3.697 and 8.301 Å and the angles 90.00°, 105.06° and 90.00°. Symmetry generates all atoms from Be at (0.000, 0.000, 0.000), Be at (0.096, 0.500, 0.790), Ni at (0.204, 0.500, 0.112), Ni at (0.316, 0.000, 0.948), Se at (0.221, 0.000, 0.664) and Se at (0.415, 0.000, 0.241).

Material: ScCd14Ag
Method: DFT, PBE-GGA
State: relaxed

Its crystal system is orthorhombic. The calculation puts the density of states at the Fermi level at 16.94 states/eV/cell. For the uncorrected energy, the calculation gives -1.420 eV per atom. The value obtained for the energy of formation is -0.045 eV/atom.

The structure belongs to space group Amm2 (No. 38); the cell edges are 9.650, 7.340 and 10.016 Å and the angles 90.00°, 90.00° and 90.00°. Symmetry generates all atoms from Sc at (0.000, 0.000, 0.000), Cd at (0.000, 0.204, 0.720), Cd at (0.228, 0.000, 0.236), Cd at (0.243, 0.211, 0.518), Cd at (0.264, 0.000, 0.806), Cd at (0.500, 0.000, 0.056), Cd at (0.500, 0.000, 0.609), Cd at (0.500, 0.206, 0.330) and Ag at (0.000, 0.000, 0.437).

Material: NbPd2Pt4
Method: DFT, PBE-GGA
State: relaxed

Its crystal system is monoclinic. The calculation puts the density of states at the Fermi level at 12.24 states/eV/cell. For the uncorrected energy, the calculation gives -6.751 eV per atom. The value obtained for the energy of formation is -0.377 eV/atom. For the energy above the lowest structure with this stoichiometry, the calculation gives 21 kJ/mol of formula units.

The structure belongs to space group C2/m (No. 12); the cell edges are 8.915, 3.958 and 6.306 Å and the angles 90.00°, 98.18° and 90.00°. Symmetry generates all atoms from Nb at (0.000, 0.000, 0.000), Pd at (0.214, 0.500, 0.137), Pt at (0.068, 0.500, 0.716) and Pt at (0.145, 0.000, 0.422).

Material: CeTi2Ge2
Method: DFT, PBE-GGA
State: relaxed

Its crystal system is tetragonal. The calculation puts the density of states at the Fermi level at 14.31 states/eV/cell. For the uncorrected energy, the calculation gives -6.848 eV per atom. The value obtained for the energy of formation is -0.656 eV/atom.

The structure belongs to space group I4/mmm (No. 139); the cell edges are 4.072, 4.072 and 11.867 Å and the angles 90.00°, 90.00° and 90.00°. Symmetry generates all atoms from Ce at (0.000, 0.000, 0.000), Ti at (0.000, 0.500, 0.250) and Ge at (0.000, 0.000, 0.392).

Material: Cs3NaCu2I6
Method: DFT, PBE-GGA
State: relaxed

Its crystal system is trigonal. The calculation puts the density of states at the Fermi level at 0.00 states/eV/cell. For the uncorrected energy, the calculation gives -2.769 eV per atom. The value obtained for the uncorrected formation energy is -0.988 eV/atom.

The structure belongs to space group P-3m1 (No. 164); the cell edges are 8.6457, 8.6457 and 10.0824 Å and the angles 90.00°, 90.00° and 120.00°. Symmetry generates all atoms from Cs at (0.0000, 0.0000, 0.0000), Cs at (0.3333, 0.6667, 0.6449), Na at (0.0000, 0.0000, 0.5000), Cu at (0.3333, 0.6667, 0.2867) and I at (0.1650, 0.3300, 0.2946).

Material: AcNd3Bi4
Method: DFT, PBE-GGA
State: relaxed

Its crystal system is cubic. The calculation puts the density of states at the Fermi level at 0.80 states/eV/cell. For the uncorrected energy, the calculation gives -5.183 eV per atom. The value obtained for the energy of formation is -0.941 eV/atom.

The structure belongs to space group Pm-3m (No. 221); the cell edges are 6.622, 6.622 and 6.622 Å and the angles 90.00°, 90.00° and 90.00°. Symmetry generates all atoms from Ac at (0.000, 0.000, 0.000), Nd at (0.000, 0.500, 0.500), Bi at (0.000, 0.000, 0.500) and Bi at (0.500, 0.500, 0.500).

Material: Ce2YNpN4
Method: DFT, PBE-GGA
State: relaxed

Its crystal system is monoclinic. The calculation puts the density of states at the Fermi level at 10.60 states/eV/cell. For the uncorrected energy, the calculation gives -9.515 eV per atom. The value obtained for the uncorrected formation energy is -1.443 eV/atom.

The structure belongs to space group P2/m (No. 10); the cell edges are 6.062, 3.515 and 6.108 Å and the angles 90.00°, 109.26° and 90.00°. Symmetry generates all atoms from Ce at (0.000, 0.000, 0.000), Ce at (0.500, 0.500, 0.000), Y at (0.000, 0.500, 0.500), Np at (0.500, 0.000, 0.500), N at (0.258, 0.000, 0.737) and N at (0.262, 0.500, 0.268).

The records above give, respectively, spin magnetization values of 7.58, 0.00, 0.00, 0.00, 0.00, 0.00, 0.00, 0.00, 0.17, 0.00, 0.00, 4.16 μB/f.u..